No. 1
# CoSiPb4

A relaxed structure of CoSiPb4 (PBE-GGA, Alexandria).

```
data_CoSiPb4
_chemical_formula_sum 'Co1 Si1 Pb4'
_cell_length_a 6.297
_cell_length_b 6.297
_cell_length_c 6.297
_cell_angle_alpha 60.00
_cell_angle_beta 60.00
_cell_angle_gamma 60.00
_space_group_name_H-M_alt 'P 1'
_space_group_IT_number 1
_space_group_name_Hall 'P 1'
loop_
_atom_site_label
_atom_site_fract_x
_atom_site_fract_y
_atom_site_fract_z
Co1 0.000 0.000 0.000
Si1 0.750 0.750 0.750
Pb1 0.876 0.375 0.375
Pb2 0.375 0.375 0.876
Pb3 0.375 0.876 0.375
Pb4 0.375 0.375 0.375
```

- Raw total energy: -3.571 eV/atom
- Uncorrected formation energy: 5.94 eV per formula unit
- Calculated density: 8.61 g/cm³
- N(E_F): 7.24 states/eV/cell


No. 2
# CoSiPb2

A relaxed structure of CoSiPb2 (PBE-GGA, Alexandria).

```
data_CoSiPb2
_chemical_formula_sum 'Co1 Si1 Pb2'
_cell_length_a 3.919
_cell_length_b 4.337
_cell_length_c 5.438
_cell_angle_alpha 66.85
_cell_angle_beta 90.00
_cell_angle_gamma 90.00
_space_group_name_H-M_alt 'P 1'
_space_group_IT_number 1
_space_group_name_Hall 'P 1'
loop_
_atom_site_label
_atom_site_fract_x
_atom_site_fract_y
_atom_site_fract_z
Co1 0.500 0.573 0.734
Pb1 0.000 0.976 0.923
Pb2 0.500 0.274 0.327
Si1 0.000 0.678 0.516
```

- Raw total energy: -4.759 eV/atom
- Uncorrected formation energy: 0.91 eV per formula unit
- Calculated density: 9.80 g/cm³
- N(E_F): 3.36 states/eV/cell


No. 3
# CoSiPb2

A relaxed structure of CoSiPb2 (PBE-GGA, Alexandria).

```
data_CoSiPb2
_chemical_formula_sum 'Co1 Si1 Pb2'
_cell_length_a 3.186
_cell_length_b 3.187
_cell_length_c 8.391
_cell_angle_alpha 90.00
_cell_angle_beta 90.00
_cell_angle_gamma 90.00
_space_group_name_H-M_alt 'P 1'
_space_group_IT_number 1
_space_group_name_Hall 'P 1'
loop_
_atom_site_label
_atom_site_fract_x
_atom_site_fract_y
_atom_site_fract_z
Co1 0.500 0.500 0.670
Pb1 0.000 0.000 0.929
Pb2 0.500 0.500 0.319
Si1 0.000 0.000 0.582
```

- Raw total energy: -4.872 eV/atom
- Uncorrected formation energy: 0.46 eV per formula unit
- Calculated density: 9.77 g/cm³
- N(E_F): 3.08 states/eV/cell


No. 4
# CoSiPb2

A relaxed structure of CoSiPb2 (PBE-GGA, Alexandria).

```
data_CoSiPb2
_chemical_formula_sum 'Co1 Si1 Pb2'
_cell_length_a 4.816
_cell_length_b 4.816
_cell_length_c 3.693
_cell_angle_alpha 90.00
_cell_angle_beta 90.00
_cell_angle_gamma 90.16
_space_group_name_H-M_alt 'P 1'
_space_group_IT_number 1
_space_group_name_Hall 'P 1'
loop_
_atom_site_label
_atom_site_fract_x
_atom_site_fract_y
_atom_site_fract_z
Co1 0.000 0.500 0.500
Pb1 0.000 0.000 0.000
Pb2 0.500 0.500 0.000
Si1 0.500 0.000 0.500
```

- Raw total energy: -4.306 eV/atom
- Uncorrected formation energy: 2.72 eV per formula unit
- Calculated density: 9.72 g/cm³
- N(E_F): 5.15 states/eV/cell


No. 5
# CoSiPb2

A relaxed structure of CoSiPb2 (PBE-GGA, Alexandria).

```
data_CoSiPb2
_chemical_formula_sum 'Co1 Si1 Pb2'
_cell_length_a 5.866
_cell_length_b 5.866
_cell_length_c 5.866
_cell_angle_alpha 138.64
_cell_angle_beta 138.64
_cell_angle_gamma 59.92
_space_group_name_H-M_alt 'P 1'
_space_group_IT_number 1
_space_group_name_Hall 'P 1'
loop_
_atom_site_label
_atom_site_fract_x
_atom_site_fract_y
_atom_site_fract_z
Co1 0.750 0.250 0.500
Pb1 0.000 0.000 0.000
Pb2 0.250 0.750 0.500
Si1 0.500 0.500 0.000
```

- Raw total energy: -4.266 eV/atom
- Uncorrected formation energy: 2.88 eV per formula unit
- Calculated density: 9.55 g/cm³
- N(E_F): 6.13 states/eV/cell


No. 6
# CoSiPb2

A relaxed structure of CoSiPb2 (PBE-GGA, Alexandria).

```
data_CoSiPb2
_chemical_formula_sum 'Co1 Si1 Pb2'
_cell_length_a 7.256
_cell_length_b 7.256
_cell_length_c 7.256
_cell_angle_alpha 31.35
_cell_angle_beta 31.35
_cell_angle_gamma 31.35
_space_group_name_H-M_alt 'P 1'
_space_group_IT_number 1
_space_group_name_Hall 'P 1'
loop_
_atom_site_label
_atom_site_fract_x
_atom_site_fract_y
_atom_site_fract_z
Co1 0.792 0.792 0.792
Pb1 0.032 0.032 0.032
Pb2 0.218 0.218 0.218
Si1 0.458 0.458 0.458
```

- Raw total energy: -5.009 eV/atom
- Uncorrected formation energy: -0.09 eV per formula unit
- Calculated density: 9.07 g/cm³
- N(E_F): 2.28 states/eV/cell


No. 7
# CoSi4Pb

A relaxed structure of CoSi4Pb (PBE-GGA, Alexandria).

```
data_CoSi4Pb
_chemical_formula_sum 'Co1 Si4 Pb1'
_cell_length_a 5.247
_cell_length_b 5.247
_cell_length_c 5.247
_cell_angle_alpha 60.00
_cell_angle_beta 60.00
_cell_angle_gamma 60.00
_space_group_name_H-M_alt 'P 1'
_space_group_IT_number 1
_space_group_name_Hall 'P 1'
loop_
_atom_site_label
_atom_site_fract_x
_atom_site_fract_y
_atom_site_fract_z
Co1 0.750 0.750 0.750
Si1 0.870 0.377 0.377
Si2 0.377 0.377 0.870
Si3 0.377 0.870 0.377
Si4 0.377 0.377 0.377
Pb1 0.000 0.000 0.000
```

- Raw total energy: -4.722 eV/atom
- Uncorrected formation energy: 4.17 eV per formula unit
- Calculated density: 6.15 g/cm³
- N(E_F): 4.51 states/eV/cell


No. 8
# CoSiPb2

A relaxed structure of CoSiPb2 (PBE-GGA, Alexandria).

```
data_CoSiPb2
_chemical_formula_sum 'Co1 Si1 Pb2'
_cell_length_a 3.597
_cell_length_b 3.597
_cell_length_c 8.017
_cell_angle_alpha 77.04
_cell_angle_beta 77.04
_cell_angle_gamma 59.92
_space_group_name_H-M_alt 'P 1'
_space_group_IT_number 1
_space_group_name_Hall 'P 1'
loop_
_atom_site_label
_atom_site_fract_x
_atom_site_fract_y
_atom_site_fract_z
Co1 0.250 0.250 0.250
Pb1 0.993 0.993 0.022
Pb2 0.507 0.507 0.478
Si1 0.750 0.750 0.750
```

- Raw total energy: -4.376 eV/atom
- Uncorrected formation energy: 2.44 eV per formula unit
- Calculated density: 9.60 g/cm³
- N(E_F): 3.98 states/eV/cell